4
Lattice="-1.4292 2.3554 0.0359 -1.3509 -0.7851 -2.2695 -4.5201 -2.7986 3.6587" Properties=species:S:1:pos:R:3 comment="LiBe2Ag PBE-GGA relaxed" ef_ev_per_fu=0.40 relative_energy_mev_per_atom=0 space_group="P4mm (99)" pbc="T T T"
Ag -4.9392 -1.4122 1.7560
Be -0.2037 -0.1261 0.1648
Be -2.3091 0.2162 -0.3729
Li -2.1084 -1.3054 1.7066

***

4
Lattice="2.6981 0.0115 0.0000 -0.0118 2.6981 0.0000 0.0000 0.0000 9.1615" Properties=species:S:1:pos:R:3 comment="KFe2Ni PBE-GGA relaxed" ef_ev_per_fu=2.89 relative_energy_mev_per_atom=138 space_group="P4/mmm (123)" pbc="T T T"
Fe 0.0000 0.0000 8.4939
Fe 0.0000 0.0000 5.2483
K 1.3431 1.3548 2.2904
Ni 1.3431 1.3548 6.8711

***

4
Lattice="4.9506 0.0000 0.0000 2.4753 4.2873 0.0000 2.4753 1.4291 4.0421" Properties=species:S:1:pos:R:3 comment="TbCdGa2 PBE-GGA relaxed" ef_ev_per_fu=-1.16 space_group="Fm-3m (225)" pbc="T T T"
Tb 4.9506 2.8582 2.0211
Ga 2.4753 1.4291 1.0105
Ga 7.4259 4.2873 3.0316
Cd 0.0000 0.0000 0.0000

***

8
Lattice="-6.2563 2.5607 -3.6101 1.8594 -4.1518 -6.1673 -3.6453 -2.9248 -3.8915" Properties=species:S:1:pos:R:3 comment="Sc2TaIr PBE-GGA relaxed" ef_ev_per_fu=0.25 relative_energy_mev_per_atom=463 space_group="I-42d (122)" pbc="T T T"
Sc -4.8740 0.4669 -4.1645
Sc -0.2464 -3.1226 -5.1143
Sc -4.4675 -2.6012 -6.3043
Sc -6.4966 -3.7749 -11.7547
Ir 0.0000 0.0000 0.0000
Ir -6.0500 -0.5798 -6.1952
Ta -2.1984 -0.7956 -4.8887
Ta -1.9922 -3.9361 -7.4738

***

4
Lattice="4.8086 0.0000 0.0000 -2.4043 4.1644 0.0000 0.0000 0.0000 10.2981" Properties=species:S:1:pos:R:3 comment="KSb PBE-GGA relaxed" relative_energy_mev_per_atom=291 space_group="P-3m1 (164)" pbc="T T T"
K 0.0000 0.0000 9.4663
K 2.4043 1.3881 3.4063
Sb 0.0000 0.0000 5.8741
Sb 2.4043 1.3881 6.9985